Sm4ZnNi: optimized geometry, PBE.

Lattice parameters (Å, degrees): 6.9883 7.1434 6.9949 90.00 95.25 90.00
With the nearest neighbours (Å) after each atom.
Atoms (fractional coordinates):
Sm 0.6233 0.1521 0.8272  1 Ni 2.61
Zn 0.5000 0.5000 0.0000  6 Sm 2.93-3.08
Sm 0.1233 0.3479 0.8272  1 Ni 2.61
Sm 0.8767 0.6521 0.1728  1 Ni 2.61
Sm 0.6859 0.6642 0.6550  2 Ni 2.79-2.89, 1 Zn 3.08
Ni 0.5000 0.0000 0.5000  6 Sm 2.61-2.89
Sm 0.3141 0.3358 0.3450  2 Ni 2.79-2.89, 1 Zn 3.08
Sm 0.3767 0.8479 0.1728  1 Ni 2.61
Zn 0.0000 0.0000 0.0000  6 Sm 2.93-3.08
Ni 0.0000 0.5000 0.5000  6 Sm 2.61-2.89
Sm 0.8141 0.1642 0.3450  2 Ni 2.79-2.89, 1 Zn 3.08
Sm 0.1859 0.8358 0.6550  2 Ni 2.79-2.89, 1 Zn 3.08

Summary:
Its offset from the most stable computed form is 87 kJ/mol of formula units. The space group is P2_1/c, No. 14. The formation energy comes out at -0.0797 eV per atom. Its final energy is -52.82 eV for the cell shown. The density of states at the Fermi level comes out at 17.5 states/eV per cell. Its magnetization is 0.000 μB per atom.

BeIrF: optimized geometry, PBE.

Lattice parameters (Å, degrees): 2.6744 6.3673 4.4941 89.99 90.00 77.88
With the nearest neighbours (Å) after each atom.
Atoms (fractional coordinates):
Be 0.9929 0.3676 0.9931  2 F 1.56
F 0.9320 0.2061 0.7424  2 Be 1.56
Ir 0.8074 0.7373 0.4938  2 Be 2.33
Be 0.1534 0.0434 0.4931  2 F 1.56
F 0.2147 0.2049 0.2424  2 Be 1.56
Ir 0.3392 0.6737 0.9938  2 Be 2.33

Summary:
Its offset from the most stable computed form is 2 kJ/mol of formula units. The space group is P2_1, No. 4. Its final energy is -37.41 eV for the cell shown. The value obtained for the uncorrected formation energy is -1.415 eV/atom. The density of states at the Fermi level comes out at 2.7 states/eV per cell. Its magnetization is 0.000 μB per atom.

PmSm4Tm7: optimized geometry, PBE.

Lattice parameters (Å, degrees): 5.8386 11.5622 6.7081 83.28 64.20 75.38
With the nearest neighbours (Å) after each atom.
Atoms (fractional coordinates):
Sm 0.2309 0.3285 0.2097  4 Tm 3.25-3.51, 2 Sm 3.61
Sm 0.6359 0.2235 0.5048  7 Tm 3.35-3.63, 2 Sm 3.61
Tm 0.5000 0.0000 0.0000  2 Pm 2.92, 2 Tm 3.15
Tm 0.6330 0.5027 0.2314  4 Tm 3.24-3.55, 5 Sm 3.25-3.52
Sm 0.3641 0.7765 0.4952  7 Tm 3.35-3.63, 2 Sm 3.61
Sm 0.7691 0.6715 0.7903  4 Tm 3.25-3.51, 2 Sm 3.61
Pm 0.0000 0.0000 0.0000  4 Tm 2.92-3.12
Tm 0.9338 0.3185 0.8139  4 Tm 3.27-3.55, 3 Sm 3.63-3.65
Tm 0.7890 0.9233 0.4987  1 Pm 3.12, 4 Tm 3.15-3.39, 4 Sm 3.31-3.36
Tm 0.2110 0.0767 0.5013  1 Pm 3.12, 4 Tm 3.15-3.39, 4 Sm 3.31-3.36
Tm 0.3670 0.4973 0.7686  4 Tm 3.24-3.55, 5 Sm 3.25-3.52
Tm 0.0662 0.6815 0.1861  4 Tm 3.27-3.55, 3 Sm 3.63-3.65

Summary:
Its offset from the most stable computed form is 222 kJ/mol of formula units. The space group is C2/m, No. 12. The formation energy comes out at 0.2695 eV per atom. Its final energy is -51.69 eV for the cell shown. The density of states at the Fermi level comes out at 19.9 states/eV per cell. Its magnetization is 0.000 μB per atom.

Ba3LiAu3: optimized geometry, PBE.

Lattice parameters (Å, degrees): 4.6183 6.6269 15.8516 85.17 81.62 69.61
With the nearest neighbours (Å) after each atom.
Atoms (fractional coordinates):
Ba 0.4730 0.6666 0.3874  6 Au 3.42-3.52, 4 Li 3.42-3.76
Au 0.9598 0.8405 0.2398  1 Au 3.13, 1 Li 3.18, 4 Ba 3.42-3.44
Ba 0.4026 0.2745 0.9203  7 Au 3.46-3.54
Au 0.8600 0.7329 0.5472  3 Li 2.70-2.82
Ba 0.5974 0.7255 0.0797  7 Au 3.46-3.54
Ba 0.7417 0.7497 0.7668  6 Au 3.41-3.67
Au 0.0402 0.1595 0.7602  1 Au 3.13, 1 Li 3.18, 4 Ba 3.42-3.44
Ba 0.2583 0.2503 0.2332  6 Au 3.41-3.67
Au 0.1172 0.8450 0.9205  2 Au 3.13-3.20, 4 Ba 3.41-3.46
Ba 0.5270 0.3334 0.6126  6 Au 3.42-3.52, 4 Li 3.42-3.76
Au 0.1400 0.2671 0.4528  3 Li 2.70-2.82
Li 0.7590 0.0630 0.4191  3 Au 2.70-2.82
Au 0.8828 0.1550 0.0795  2 Au 3.13-3.20, 4 Ba 3.41-3.46
Li 0.2410 0.9370 0.5809  3 Au 2.70-2.82

Summary:
The space group is C2/m, No. 12. The formation energy comes out at -0.6328 eV per atom. Its final energy is -43.89 eV for the cell shown. The density of states at the Fermi level comes out at 8.4 states/eV per cell. Its magnetization is 0.000 μB per atom.

YCl: optimized geometry, PBE.

Lattice parameters (Å, degrees): 11.1515 11.1515 3.7567 90.00 90.00 90.00
With the nearest neighbours (Å) after each atom.
Atoms (fractional coordinates):
Cl 0.2814 0.4023 0.5000  4 Y 2.74-2.94
Cl 0.5977 0.2814 0.5000  4 Y 2.74-2.94
Cl 0.1295 0.8068 0.0000  4 Y 2.82-3.03
Cl 0.4023 0.7186 0.5000  4 Y 2.74-2.94
Cl 0.8068 0.8705 0.0000  4 Y 2.82-3.03
Y 0.6225 0.8285 0.5000  4 Cl 2.74-2.82
Y 0.9184 0.6351 0.0000  4 Cl 2.91-3.03
Y 0.0816 0.3649 0.0000  4 Cl 2.91-3.03
Cl 0.8705 0.1932 0.0000  4 Y 2.82-3.03
Y 0.8285 0.3775 0.5000  4 Cl 2.74-2.82
Cl 0.1932 0.1295 0.0000  4 Y 2.82-3.03
Y 0.3775 0.1715 0.5000  4 Cl 2.74-2.82
Cl 0.7186 0.5977 0.5000  4 Y 2.74-2.94
Y 0.1715 0.6225 0.5000  4 Cl 2.74-2.82
Y 0.6351 0.0816 0.0000  4 Cl 2.91-3.03
Y 0.3649 0.9184 0.0000  4 Cl 2.91-3.03

Summary:
The space group is P4/m, No. 83. Its final energy is -88.37 eV for the cell shown. The value obtained for the uncorrected formation energy is -1.368 eV/atom. The density of states at the Fermi level comes out at 7.2 states/eV per cell. Its magnetization is 0.099 μB per atom.

AlFeSiRh: optimized geometry, PBE.

Lattice parameters (Å, degrees): 4.0930 4.0930 4.0930 60.00 60.00 60.00
With the nearest neighbours (Å) after each atom.
Atoms (fractional coordinates):
Si 0.7500 0.7500 0.7500  4 Fe 2.51, 4 Rh 2.51
Al 0.2500 0.2500 0.2500  4 Rh 2.51, 4 Fe 2.51
Rh 0.5000 0.5000 0.5000  4 Si 2.51, 4 Al 2.51
Fe 0.0000 0.0000 0.0000  4 Al 2.51, 4 Si 2.51

Summary:
The space group is F-43m, No. 216. Its final energy is -27.51 eV for the cell shown. The value obtained for the uncorrected formation energy is -0.633 eV/atom. The density of states at the Fermi level comes out at 1.9 states/eV per cell. Its magnetization is 0.030 μB per atom.

Li2NpCl8: optimized geometry, PBE.

Lattice parameters (Å, degrees): 7.1436 6.8440 6.8440 116.95 82.64 82.64
With the nearest neighbours (Å) after each atom.
Atoms (fractional coordinates):
Cl 0.1425 0.0873 0.3441  2 Li 2.47-2.51
Cl 0.3503 0.7254 0.7254  1 Np 2.46
Cl 0.8575 0.6559 0.9127  2 Li 2.47-2.51
Cl 0.6497 0.2746 0.2746  1 Np 2.46
Cl 0.1425 0.3441 0.0873  2 Li 2.47-2.51
Cl 0.5000 0.2211 0.7789  1 Np 2.58, 2 Cl 2.85
Cl 0.8575 0.9127 0.6559  2 Li 2.47-2.51
Li 0.0000 0.7532 0.2468  4 Cl 2.47-2.51
Li 0.0000 0.2468 0.7532  4 Cl 2.47-2.51
Np 0.5000 0.0000 0.0000  4 Cl 2.46-2.58
Cl 0.5000 0.7789 0.2211  1 Np 2.58, 2 Cl 2.85

Summary:
Its offset from the most stable computed form is 138 kJ/mol of formula units. The space group is C2/m, No. 12. Its final energy is -45.14 eV for the cell shown. The value obtained for the uncorrected formation energy is -1.236 eV/atom. The density of states at the Fermi level comes out at 6.2 states/eV per cell. Its magnetization is 0.086 μB per atom.

Pr2Ga2Ru: optimized geometry, PBE.

Lattice parameters (Å, degrees): 6.1762 6.5163 7.8174 114.63 113.27 90.00
With the nearest neighbours (Å) after each atom.
Atoms (fractional coordinates):
Pr 0.6441 0.9324 0.2882  2 Ru 3.05, 6 Ga 3.16-3.37
Pr 0.8559 0.6443 0.7118  2 Ru 3.05, 6 Ga 3.16-3.37
Ga 0.1055 0.8283 0.2111  2 Ru 2.51
Ga 0.8945 0.1717 0.7889  2 Ru 2.51
Ga 0.3945 0.6173 0.7889  2 Ru 2.51
Pr 0.3559 0.0676 0.7118  2 Ru 3.05, 6 Ga 3.16-3.37
Ru 0.7500 0.5000 0.0000  4 Ga 2.51
Pr 0.1441 0.3557 0.2882  2 Ru 3.05, 6 Ga 3.16-3.37
Ru 0.2500 0.5000 0.0000  4 Ga 2.51
Ga 0.6055 0.3827 0.2111  2 Ru 2.51

Summary:
Its offset from the most stable computed form is 40 kJ/mol of formula units. The space group is Ibam, No. 72. The formation energy comes out at -0.4353 eV per atom. Its final energy is -54.13 eV for the cell shown. The density of states at the Fermi level comes out at 6.8 states/eV per cell. Its magnetization is 0.000 μB per atom.

La2HfCrW: optimized geometry, PBE.

Lattice parameters (Å, degrees): 5.7062 4.8646 5.7062 90.00 90.00 90.00
With the nearest neighbours (Å) after each atom.
Atoms (fractional coordinates):
W 0.0000 0.5000 0.0000  2 Hf 2.43
Cr 0.5000 0.5000 0.5000  8 La 3.75, 4 W 4.03
Hf 0.0000 0.0000 0.0000  2 W 2.43
La 0.0000 0.0000 0.5000  2 Hf 2.85
La 0.5000 0.0000 0.0000  2 Hf 2.85

Summary:
The space group is P4/mmm, No. 123. The formation energy comes out at 1.8886 eV per atom. Its final energy is -32.94 eV for the cell shown. The density of states at the Fermi level comes out at 6.3 states/eV per cell. Its magnetization is 0.291 μB per atom.

ZrNiHgTe3: optimized geometry, PBE.

Lattice parameters (Å, degrees): 3.8776 10.2959 10.1201 118.93 90.00 90.00
With the nearest neighbours (Å) after each atom.
Atoms (fractional coordinates):
Te 0.7500 0.4709 0.1742  3 Zr 2.91-2.95
Hg 0.2500 0.2137 0.2381  7 Te 3.39-3.69
Te 0.7500 0.8725 0.1300  1 Ni 2.52
Te 0.2500 0.5291 0.8258  3 Zr 2.91-2.95
Te 0.2500 0.8171 0.4899  3 Ni 2.51-2.52
Te 0.7500 0.1829 0.5101  3 Ni 2.51-2.52
Ni 0.2500 0.0950 0.6062  4 Te 2.51-2.52
Zr 0.2500 0.6759 0.1538  6 Te 2.90-2.98, 2 Ni 3.11
Te 0.2500 0.1275 0.8700  1 Ni 2.52
Hg 0.7500 0.7863 0.7619  7 Te 3.39-3.69
Zr 0.7500 0.3241 0.8462  6 Te 2.90-2.98, 2 Ni 3.11
Ni 0.7500 0.9050 0.3938  4 Te 2.51-2.52

Summary:
The space group is P2_1/m, No. 11. Its final energy is -53.82 eV for the cell shown. The value obtained for the uncorrected formation energy is -0.476 eV/atom. The density of states at the Fermi level comes out at 7.7 states/eV per cell. Its magnetization is 0.000 μB per atom.

LaTe2Pb: optimized geometry, PBE.

Lattice parameters (Å, degrees): 5.1009 4.2399 12.8025 99.53 90.00 90.00
With the nearest neighbours (Å) after each atom.
Atoms (fractional coordinates):
Pb 0.7500 0.8132 0.6263  6 Te 3.25-3.32
Te 0.2500 0.0556 0.1112  1 Pb 3.31, 6 La 3.32-3.53
La 0.2500 0.4439 0.8878  7 Te 3.24-3.53
Pb 0.2500 0.1868 0.3737  6 Te 3.25-3.32
Te 0.2500 0.3157 0.6313  1 La 3.24, 5 Pb 3.25-3.32
Te 0.7500 0.9444 0.8888  1 Pb 3.31, 6 La 3.32-3.53
Te 0.7500 0.6843 0.3687  1 La 3.24, 5 Pb 3.25-3.32
La 0.7500 0.5561 0.1122  7 Te 3.24-3.53

Summary:
The space group is Cmcm, No. 63. Its final energy is -37.04 eV for the cell shown. The value obtained for the uncorrected formation energy is -0.900 eV/atom. The density of states at the Fermi level comes out at 3.7 states/eV per cell. Its magnetization is 0.109 μB per atom.

RbRe: optimized geometry, PBE.

Lattice parameters (Å, degrees): 7.0944 7.0944 7.0944 90.00 90.00 90.00
With the nearest neighbours (Å) after each atom.
Atoms (fractional coordinates):
Re 0.5000 0.0000 0.0000  6 Rb 3.55
Rb 0.5000 0.5000 0.0000  6 Re 3.55
Re 0.0000 0.5000 0.0000  6 Rb 3.55
Rb 0.0000 0.5000 0.5000  6 Re 3.55
Rb 0.5000 0.0000 0.5000  6 Re 3.55
Rb 0.0000 0.0000 0.0000  6 Re 3.55
Re 0.5000 0.5000 0.5000  6 Rb 3.55
Re 0.0000 0.0000 0.5000  6 Rb 3.55

Summary:
Its offset from the most stable computed form is 475 kJ/mol of formula units. The space group is Fm-3m, No. 225. The formation energy comes out at 3.1807 eV per atom. Its final energy is -28.22 eV for the cell shown. The density of states at the Fermi level comes out at 8.6 states/eV per cell. Its magnetization is 2.025 μB per atom.